(1)
Density functional theory data (PBE) for a geometry-optimized TaSiNiHg structure.

Results
Total magnetic moment: 0.01 μB/f.u.
Distance to the lowest polymorph of the same formula: 0.0 meV/atom

Cell: 4.474 4.474 4.474 Å, 60.00 60.00 60.00°
Positions (direct):
Hg (0.500, 0.500, 0.500)
Ni (0.750, 0.750, 0.750)
Si (0.000, 0.000, 0.000)
Ta (0.250, 0.250, 0.250)

---

(2)
Density functional theory data (PBE) for a geometry-optimized TaSiNiHg structure.

Results
Total magnetic moment: 0.14 μB/f.u.
Distance to the lowest polymorph of the same formula: 262.9 meV/atom

Cell: 4.520 4.520 4.520 Å, 60.00 60.00 60.00°
Positions (direct):
Hg (0.250, 0.250, 0.250)
Ni (0.750, 0.750, 0.750)
Si (0.000, 0.000, 0.000)
Ta (0.500, 0.500, 0.500)

---

(3)
Density functional theory data (PBE) for a geometry-optimized SiNiHgW structure.

Results
Total magnetic moment: 1.63 μB/f.u.
Total energy: -5.106 eV per atom

Cell: 4.475 4.475 4.475 Å, 60.00 60.00 60.00°
Positions (direct):
Hg (0.250, 0.250, 0.250)
Ni (0.750, 0.750, 0.750)
Si (0.000, 0.000, 0.000)
W (0.500, 0.500, 0.500)

---

(4)
Density functional theory data (PBE) for a geometry-optimized ZrSiNiHg structure.

Results
Total magnetic moment: 0.00 μB/f.u.
Total energy: -4.883 eV per atom

Cell: 4.610 4.610 4.610 Å, 60.00 60.00 60.00°
Positions (direct):
Hg (0.250, 0.250, 0.250)
Ni (0.750, 0.750, 0.750)
Si (0.000, 0.000, 0.000)
Zr (0.500, 0.500, 0.500)

---

(5)
Density functional theory data (PBE) for a geometry-optimized SmNiHg structure.

Results
Total magnetic moment: 0.00 μB/f.u.
ΔE_f: 205 meV per atom

Cell: 4.812 4.812 4.812 Å, 60.00 60.00 60.00°
Positions (direct):
Hg (0.250, 0.250, 0.250)
Ni (0.750, 0.750, 0.750)
Sm (0.000, 0.000, 0.000)

---

(6)
Density functional theory data (PBE) for a geometry-optimized NiSnHg structure.

Results
Total magnetic moment: 0.00 μB/f.u.
Distance to the lowest polymorph of the same formula: 0.0 meV/atom

Cell: 4.407 4.407 4.407 Å, 60.00 60.00 60.00°
Positions (direct):
Hg (0.250, 0.250, 0.250)
Ni (0.000, 0.000, 0.000)
Sn (0.750, 0.750, 0.750)

---

(7)
Density functional theory data (PBE) for a geometry-optimized Ni2SnHg structure.

Results
Total magnetic moment: 0.00 μB/f.u.
Total energy: -3.557 eV per atom

Cell: 4.523 4.523 4.523 Å, 60.00 60.00 60.00°
Positions (direct):
Hg (0.250, 0.250, 0.250)
Ni (0.000, 0.000, 0.000)
Ni (0.750, 0.750, 0.750)
Sn (0.500, 0.500, 0.500)

---

(8)
Density functional theory data (PBE) for a geometry-optimized TaNiSnHg structure.

Results
Total magnetic moment: 0.06 μB/f.u.
Distance to the lowest polymorph of the same formula: 0.0 meV/atom

Cell: 4.698 4.698 4.698 Å, 60.00 60.00 60.00°
Positions (direct):
Hg (0.500, 0.500, 0.500)
Ni (0.750, 0.750, 0.750)
Sn (0.000, 0.000, 0.000)
Ta (0.250, 0.250, 0.250)

---

(9)
Density functional theory data (PBE) for a geometry-optimized TaNiSnHg structure.

Results
Total magnetic moment: 0.87 μB/f.u.
Distance to the lowest polymorph of the same formula: 121.0 meV/atom

Cell: 4.709 4.709 4.709 Å, 60.00 60.00 60.00°
Positions (direct):
Hg (0.250, 0.250, 0.250)
Ni (0.750, 0.750, 0.750)
Sn (0.000, 0.000, 0.000)
Ta (0.500, 0.500, 0.500)

---

(10)
Density functional theory data (PBE) for a geometry-optimized TcNiSnHg structure.

Results
Total magnetic moment: 2.96 μB/f.u.
Distance to the lowest polymorph of the same formula: 312.8 meV/atom

Cell: 4.666 4.666 4.666 Å, 60.00 60.00 60.00°
Positions (direct):
Hg (0.250, 0.250, 0.250)
Ni (0.750, 0.750, 0.750)
Sn (0.000, 0.000, 0.000)
Tc (0.500, 0.500, 0.500)

---

(11)
Density functional theory data (PBE) for a geometry-optimized TcNiSnHg structure.

Results
Total magnetic moment: 0.01 μB/f.u.
Distance to the lowest polymorph of the same formula: 0.0 meV/atom

Cell: 4.562 4.562 4.562 Å, 60.00 60.00 60.00°
Positions (direct):
Hg (0.500, 0.500, 0.500)
Ni (0.750, 0.750, 0.750)
Sn (0.000, 0.000, 0.000)
Tc (0.250, 0.250, 0.250)

---

(12)
Density functional theory data (PBE) for a geometry-optimized NiSnHgTe3 structure.

Results
Total magnetic moment: 0.00 μB/f.u.
Distance to the lowest polymorph of the same formula: 61.5 meV/atom

Cell: 6.846 6.846 12.214 Å, 90.00 90.00 34.58°
Positions (direct):
Hg (0.000, 0.000, 0.000)
Hg (0.000, 0.000, 0.500)
Ni (0.423, 0.423, 0.250)
Ni (0.577, 0.577, 0.750)
Sn (0.771, 0.771, 0.250)
Sn (0.229, 0.229, 0.750)
Te (0.340, 0.340, 0.063)
Te (0.040, 0.040, 0.250)
Te (0.340, 0.340, 0.437)
Te (0.660, 0.660, 0.563)
Te (0.960, 0.960, 0.750)
Te (0.660, 0.660, 0.937)

---

(13)
Density functional theory data (PBE) for a geometry-optimized NiSnHgTe3 structure.

Results
Total magnetic moment: 0.00 μB/f.u.
Distance to the lowest polymorph of the same formula: 0.0 meV/atom

Cell: 3.975 11.440 7.829 Å, 90.00 104.71 90.00°
Positions (direct):
Hg (0.697, 0.000, 0.394)
Hg (0.303, 0.500, 0.606)
Ni (0.000, 0.250, 0.000)
Ni (0.000, 0.750, 0.000)
Sn (0.652, 0.500, 0.305)
Sn (0.348, 0.000, 0.695)
Te (0.009, 0.500, 0.019)
Te (0.608, 0.237, 0.216)
Te (0.608, 0.763, 0.216)
Te (0.392, 0.263, 0.784)
Te (0.392, 0.737, 0.784)
Te (0.991, 0.000, 0.981)

---

(14)
Density functional theory data (PBE) for a geometry-optimized ZnNiSnHg structure.

Results
Total magnetic moment: 0.00 μB/f.u.
Total energy: -2.509 eV per atom

Cell: 4.724 4.724 4.724 Å, 60.00 60.00 60.00°
Positions (direct):
Hg (0.250, 0.250, 0.250)
Ni (0.750, 0.750, 0.750)
Sn (0.000, 0.000, 0.000)
Zn (0.500, 0.500, 0.500)

---

(15)
Density functional theory data (PBE) for a geometry-optimized ZrNiSnHg structure.

Results
Total magnetic moment: 0.00 μB/f.u.
Total energy: -4.625 eV per atom

Cell: 4.796 4.796 4.796 Å, 60.00 60.00 60.00°
Positions (direct):
Hg (0.250, 0.250, 0.250)
Ni (0.750, 0.750, 0.750)
Sn (0.000, 0.000, 0.000)
Zr (0.500, 0.500, 0.500)

---

(16)
Density functional theory data (PBE) for a geometry-optimized TaNiHg2 structure.

Results
Total magnetic moment: 0.00 μB/f.u.
ΔE_f: 485 meV per atom

Cell: 4.638 4.638 4.638 Å, 60.00 60.00 60.00°
Positions (direct):
Hg (0.000, 0.000, 0.000)
Hg (0.750, 0.750, 0.750)
Ni (0.250, 0.250, 0.250)
Ta (0.500, 0.500, 0.500)

---

(17)
Density functional theory data (PBE) for a geometry-optimized TaNi2Hg structure.

Results
Total magnetic moment: 0.00 μB/f.u.
ΔE_f: 262 meV per atom

Cell: 4.399 4.399 4.399 Å, 60.00 60.00 60.00°
Positions (direct):
Hg (0.250, 0.250, 0.250)
Ni (0.000, 0.000, 0.000)
Ni (0.750, 0.750, 0.750)
Ta (0.500, 0.500, 0.500)

---

(18)
Density functional theory data (PBE) for a geometry-optimized TaTlNiHg structure.

Results
Total magnetic moment: 0.00 μB/f.u.
Distance to the lowest polymorph of the same formula: 29.2 meV/atom

Cell: 4.718 4.718 4.718 Å, 60.00 60.00 60.00°
Positions (direct):
Hg (0.250, 0.250, 0.250)
Ni (0.750, 0.750, 0.750)
Ta (0.500, 0.500, 0.500)
Tl (0.000, 0.000, 0.000)

---

(19)
Density functional theory data (PBE) for a geometry-optimized TaTlNiHg structure.

Results
Total magnetic moment: 0.01 μB/f.u.
Distance to the lowest polymorph of the same formula: 0.0 meV/atom

Cell: 4.701 4.701 4.701 Å, 60.00 60.00 60.00°
Positions (direct):
Hg (0.500, 0.500, 0.500)
Ni (0.750, 0.750, 0.750)
Ta (0.250, 0.250, 0.250)
Tl (0.000, 0.000, 0.000)

---

(20)
Density functional theory data (PBE) for a geometry-optimized TbNiHg structure.

Results
Total magnetic moment: 0.00 μB/f.u.
ΔE_f: 81 meV per atom

Cell: 4.744 4.744 4.744 Å, 60.00 60.00 60.00°
Positions (direct):
Hg (0.000, 0.000, 0.000)
Ni (0.250, 0.250, 0.250)
Tb (0.750, 0.750, 0.750)

---

(21)
Density functional theory data (PBE) for a geometry-optimized TlTcNiHg structure.

Results
Total magnetic moment: 2.79 μB/f.u.
Distance to the lowest polymorph of the same formula: 141.3 meV/atom

Cell: 4.679 4.679 4.679 Å, 60.00 60.00 60.00°
Positions (direct):
Hg (0.250, 0.250, 0.250)
Ni (0.750, 0.750, 0.750)
Tc (0.500, 0.500, 0.500)
Tl (0.000, 0.000, 0.000)

---

(22)
Density functional theory data (PBE) for a geometry-optimized TlTcNiHg structure.

Results
Total magnetic moment: 1.13 μB/f.u.
Distance to the lowest polymorph of the same formula: 0.0 meV/atom

Cell: 4.613 4.613 4.613 Å, 60.00 60.00 60.00°
Positions (direct):
Hg (0.500, 0.500, 0.500)
Ni (0.750, 0.750, 0.750)
Tc (0.250, 0.250, 0.250)
Tl (0.000, 0.000, 0.000)

---

(23)
Density functional theory data (PBE) for a geometry-optimized NiHg3Te2 structure.

Results
Total magnetic moment: 0.93 μB/f.u.
Total energy: -1.595 eV per atom

Cell: 5.434 5.434 7.288 Å, 90.00 90.00 120.00°
Each line ends with the local moment (μB).
Positions (direct):
Hg (0.500, 0.000, 0.000)  0.03
Hg (0.000, 0.500, 0.000)  0.01
Hg (0.500, 0.500, 0.000)  0.03
Ni (0.000, 0.000, 0.500)  0.71
Te (0.333, 0.667, 0.451)  0.04
Te (0.667, 0.333, 0.549)  0.04

---

(24)
Density functional theory data (PBE) for a geometry-optimized TlNiHgW structure.

Results
Total magnetic moment: 1.89 μB/f.u.
Total energy: -4.243 eV per atom

Cell: 4.690 4.690 4.690 Å, 60.00 60.00 60.00°
Positions (direct):
Hg (0.250, 0.250, 0.250)
Ni (0.750, 0.750, 0.750)
Tl (0.000, 0.000, 0.000)
W (0.500, 0.500, 0.500)

---

(25)
Density functional theory data (PBE) for a geometry-optimized TmNiHg structure.

Results
Total magnetic moment: 0.01 μB/f.u.
ΔE_f: 160 meV per atom

Cell: 4.669 4.669 4.669 Å, 60.00 60.00 60.00°
Positions (direct):
Hg (0.250, 0.250, 0.250)
Ni (0.750, 0.750, 0.750)
Tm (0.000, 0.000, 0.000)

---

(26)
Density functional theory data (PBE) for a geometry-optimized Y2NiHg2 structure.

Results
Total magnetic moment: 0.00 μB/f.u.
ΔE_f: -76 meV per atom

Cell: 7.408 7.408 4.631 Å, 90.00 90.00 90.00°
Positions (direct):
Hg (0.642, 0.142, 0.500)
Hg (0.142, 0.358, 0.500)
Hg (0.858, 0.642, 0.500)
Hg (0.358, 0.858, 0.500)
Ni (0.000, 0.000, 0.000)
Ni (0.500, 0.500, 0.000)
Y (0.331, 0.169, 0.000)
Y (0.831, 0.331, 0.000)
Y (0.169, 0.669, 0.000)
Y (0.669, 0.831, 0.000)

---

(27)
Density functional theory data (PBE) for a geometry-optimized ZrNiHg2 structure.

Results
Total magnetic moment: 0.00 μB/f.u.
ΔE_f: -5 meV per atom

Cell: 4.717 4.717 4.717 Å, 60.00 60.00 60.00°
Positions (direct):
Hg (0.250, 0.250, 0.250)
Hg (0.500, 0.500, 0.500)
Ni (0.750, 0.750, 0.750)
Zr (0.000, 0.000, 0.000)

---

(28)
Density functional theory data (PBE) for a geometry-optimized ZrNiHg2 structure.

Results
Total magnetic moment: 0.00 μB/f.u.
ΔE_f: -6 meV per atom

Cell: 4.729 4.729 4.729 Å, 60.00 60.00 60.00°
Positions (direct):
Hg (0.000, 0.000, 0.000)
Hg (0.250, 0.250, 0.250)
Ni (0.750, 0.750, 0.750)
Zr (0.500, 0.500, 0.500)

---

(29)
Density functional theory data (PBE) for a geometry-optimized NpHg structure.

Results
Total magnetic moment: 4.99 μB/f.u.
ΔE_f: 1246 meV per atom

Cell: 4.899 4.899 4.899 Å, 60.00 60.00 60.00°
Each line ends with the local moment (μB).
Positions (direct):
Hg (0.000, 0.000, 0.000)  0.09
Np (0.250, 0.250, 0.250)  4.38

---

(30)
Density functional theory data (PBE) for a geometry-optimized NpHg structure.

Results
Total magnetic moment: 3.33 μB/f.u.
ΔE_f: 174 meV per atom

Cell: 3.012 3.012 5.619 Å, 90.00 90.00 120.00°
Each line ends with the local moment (μB).
Positions (direct):
Hg (0.667, 0.333, 0.750)  -0.02
Np (0.333, 0.667, 0.250)  3.26